(1)
Density functional theory data (GGA-PBE) for crystalline Ac2TcNi3Ge4 at its relaxed geometry.

Geometry as extended XYZ:
```
10
Lattice="4.2738 0.0000 0.0000 0.0000 4.2738 0.0000 0.0000 0.0000 10.2665" Properties=species:S:1:pos:R:3 pbc="T T T"
Ac 0.0000 2.1369 2.4919
Ac 2.1369 0.0000 7.7746
Tc 0.0000 0.0000 5.1333
Ni 0.0000 2.1369 9.0122
Ni 2.1369 0.0000 1.2544
Ni 2.1369 2.1369 5.1333
Ge 0.0000 0.0000 0.0000
Ge 0.0000 2.1369 6.4347
Ge 2.1369 0.0000 3.8319
Ge 2.1369 2.1369 0.0000
```

Calculated values
- Formation energy from the elements: -0.5698 eV/atom
- DOS(E_F): 5.0 states/eV/cell
- Theoretical density: 9.02 g/cm³
- Symmetry: P-4m2

***

(2)
Density functional theory data (GGA-PBE) for crystalline InIrAu2 at its relaxed geometry.

Geometry as extended XYZ:
```
4
Lattice="4.0730 0.0000 0.0000 0.0000 4.0730 0.0000 0.0000 0.0000 4.2398" Properties=species:S:1:pos:R:3 pbc="T T T"
In 0.0000 0.0000 0.0000
Ir 2.0365 2.0365 0.0000
Au 0.0000 2.0365 2.1199
Au 2.0365 0.0000 2.1199
```

Calculated values
- Formation energy from the elements: 0.0156 eV/atom
- DOS(E_F): 1.3 states/eV/cell
- Theoretical density: 16.55 g/cm³
- Symmetry: P4/mmm

***

(3)
Density functional theory data (GGA-PBE) for crystalline DyHo4Tm2Mg at its relaxed geometry.

Geometry as extended XYZ:
```
8
Lattice="6.0159 -1.8230 0.0000 6.0159 1.8230 0.0000 -3.3053 0.0000 10.9172" Properties=species:S:1:pos:R:3 pbc="T T T"
Dy 0.0000 0.0000 0.0000
Ho -0.0202 0.0000 9.4684
Ho 2.0963 0.0000 4.2636
Ho 6.6303 0.0000 6.6536
Ho 8.7467 0.0000 1.4487
Tm 3.3303 0.0000 7.9304
Tm 5.3962 0.0000 2.9867
Mg -1.6526 0.0000 5.4586
```

Calculated values
- Formation energy from the elements: 0.0210 eV/atom
- DOS(E_F): 9.8 states/eV/cell
- Theoretical density: 8.21 g/cm³
- Symmetry: C2/m

***

(4)
Density functional theory data (GGA-PBE) for crystalline La2NdCdCo at its relaxed geometry.

Geometry as extended XYZ:
```
10
Lattice="7.5647 0.0000 0.0000 0.0000 3.9460 0.0000 -1.0624 0.0000 9.6878" Properties=species:S:1:pos:R:3 pbc="T T T"
La 0.8468 0.9865 2.9844
La 1.6814 2.9595 5.9875
La 4.8208 0.9865 3.7004
La 5.6554 2.9595 6.7034
Nd 0.2556 0.9865 8.8799
Nd 6.2466 2.9595 0.8080
Cd 3.0187 2.9595 1.2263
Cd 3.4835 0.9865 8.4616
Co -0.2121 0.9865 5.8698
Co 6.7143 2.9595 3.8180
```

Calculated values
- Formation energy from the elements: -0.1629 eV/atom
- DOS(E_F): 9.5 states/eV/cell
- Theoretical density: 6.81 g/cm³
- Symmetry: P2_1/m

***

(5)
Density functional theory data (GGA-PBE) for crystalline Gd2ThTl at its relaxed geometry.

Geometry as extended XYZ:
```
4
Lattice="3.6125 0.0000 0.0000 0.0000 3.6125 0.0000 0.0000 0.0000 9.1924" Properties=species:S:1:pos:R:3 pbc="T T T"
Gd 0.0000 0.0000 2.1733
Gd 0.0000 0.0000 7.0191
Th 1.8062 1.8062 4.5962
Tl 1.8062 1.8062 0.0000
```

Calculated values
- Formation energy from the elements: -0.1888 eV/atom
- DOS(E_F): 4.2 states/eV/cell
- Theoretical density: 10.39 g/cm³
- Symmetry: P4/mmm
- Relative energy among the computed polymorphs: 0 meV/atom

***

(6)
Density functional theory data (GGA-PBE) for crystalline TmSi2Ni at its relaxed geometry.

Geometry as extended XYZ:
```
16
Lattice="6.7506 0.0000 0.0000 0.0000 3.8665 0.0000 0.0000 0.0000 9.8271" Properties=species:S:1:pos:R:3 pbc="T T T"
Tm 1.0115 0.9666 1.2404
Tm 2.3638 2.8999 6.1540
Tm 4.3868 0.9666 3.6731
Tm 5.7391 2.8999 8.5867
Si 1.0860 0.9666 8.0766
Si 1.2850 0.9666 4.2229
Si 2.0903 2.8999 9.1365
Si 2.2893 2.8999 3.1631
Si 4.4613 0.9666 6.6640
Si 4.6603 0.9666 0.6906
Si 5.4656 2.8999 5.6042
Si 5.6646 2.8999 1.7505
Ni 0.0226 2.8999 3.7053
Ni 3.3527 0.9666 8.6188
Ni 3.3979 2.8999 1.2083
Ni 6.7279 0.9666 6.1218
```

Calculated values
- Raw formation energy: -0.773 eV per atom
- DOS(E_F): 8.4 states/eV/cell
- Theoretical density: 7.35 g/cm³
- Symmetry: Pnma

***

(7)
Density functional theory data (GGA-PBE) for crystalline Ba2SrAs2 at its relaxed geometry.

Geometry as extended XYZ:
```
5
Lattice="-2.5531 2.5531 6.9194 2.5531 -2.5531 6.9194 2.5531 2.5531 -6.9194" Properties=species:S:1:pos:R:3 pbc="T T T"
Ba 2.5531 0.0000 3.4597
Ba 0.0000 2.5531 3.4597
Sr 0.0000 0.0000 0.0000
As 0.0000 0.0000 5.5966
As 0.0000 0.0000 8.2421
```

Calculated values
- Formation energy from the elements: -0.6024 eV/atom
- DOS(E_F): 3.4 states/eV/cell
- Theoretical density: 4.71 g/cm³
- Symmetry: I4/mmm
- Relative energy among the computed polymorphs: 466 meV/atom

***

(8)
Density functional theory data (GGA-PBE) for crystalline Dy2Be3Ir2 at its relaxed geometry.

Geometry as extended XYZ:
```
7
Lattice="4.9729 -2.0212 0.0000 4.9729 2.0212 0.0000 -2.4351 0.0000 5.4847" Properties=species:S:1:pos:R:3 pbc="T T T"
Dy 0.6949 0.0000 1.5620
Dy 6.8159 0.0000 3.9227
Be 3.7763 0.0000 0.5223
Be 3.7554 0.0000 2.7424
Be 3.7344 0.0000 4.9625
Ir -0.3118 0.0000 4.3895
Ir 7.8225 0.0000 1.0952
```

Calculated values
- Formation energy from the elements: -0.4686 eV/atom
- DOS(E_F): 4.8 states/eV/cell
- Theoretical density: 11.09 g/cm³
- Symmetry: C2/m

***

(9)
Density functional theory data (GGA-PBE) for crystalline BaCr2Se at its relaxed geometry.

Geometry as extended XYZ:
```
4
Lattice="-1.7597 2.7568 5.4206 1.7597 -2.7568 5.4206 1.7597 2.7568 -5.4206" Properties=species:S:1:pos:R:3 pbc="T T T"
Ba 0.0000 0.0000 0.0000
Cr 1.7597 0.0000 3.2901
Cr 0.0000 2.7568 2.1305
Se 0.0000 0.0000 5.4206
```

Calculated values
- Raw formation energy: 0.301 eV per atom
- DOS(E_F): 2.6 states/eV/cell
- Theoretical density: 5.06 g/cm³
- Symmetry: Immm

***

(10)
Density functional theory data (GGA-PBE) for crystalline TbPa6N12 at its relaxed geometry.

Geometry as extended XYZ:
```
19
Lattice="5.1027 2.9461 3.1267 -5.1027 2.9461 3.1267 0.0000 -5.8921 3.1267" Properties=species:S:1:pos:R:3 pbc="T T T"
Tb 0.0000 0.0000 0.0000
Pa -2.3576 0.4365 3.2183
Pa 0.8008 -2.2600 3.2183
Pa -1.5568 -1.8235 6.1618
Pa 1.5568 1.8235 3.2183
Pa -0.8008 2.2600 6.1618
Pa 2.3576 -0.4364 6.1618
N -4.3750 0.9502 4.1121
N -3.0104 -3.3137 5.2681
N -1.3232 -1.6555 3.7560
N 1.3646 -4.2640 4.1121
N -2.0953 0.3181 5.6241
N -0.7722 1.9737 3.7560
N 0.7722 -1.9737 5.6241
N 2.0953 -0.3181 3.7560
N -1.3645 4.2640 5.2681
N 1.3232 1.6555 5.6241
N 3.0104 3.3137 4.1121
N 4.3750 -0.9502 5.2681
```

Calculated values
- Raw formation energy: -1.467 eV per atom
- DOS(E_F): 17.0 states/eV/cell
- Theoretical density: 10.09 g/cm³
- Symmetry: R-3

***

(11)
Density functional theory data (GGA-PBE) for crystalline NaTlMoCl6 at its relaxed geometry.

Geometry as extended XYZ:
```
18
Lattice="6.9772 0.0000 0.0000 -3.4886 6.0424 0.0000 0.0000 0.0000 13.1329" Properties=species:S:1:pos:R:3 pbc="T T T"
Na 0.0000 4.0283 3.2832
Na 3.4886 2.0141 9.8497
Tl 0.0000 0.0000 0.0000
Tl 0.0000 0.0000 6.5665
Mo 0.0000 4.0283 9.8497
Mo 3.4886 2.0141 3.2832
Cl -1.0587 2.3811 8.4539
Cl -1.9559 3.9351 11.2454
Cl 1.0587 2.3811 11.2454
Cl -0.8972 5.7687 8.4539
Cl 2.5914 0.2737 1.8875
Cl 1.5327 2.1074 4.6790
Cl 1.9559 3.9351 8.4539
Cl 0.8972 5.7687 11.2454
Cl 4.3858 0.2737 4.6790
Cl 2.4300 3.6614 1.8875
Cl 5.4445 2.1074 1.8875
Cl 4.5473 3.6614 4.6790
```

Calculated values
- Raw formation energy: -1.113 eV per atom
- DOS(E_F): 18.4 states/eV/cell
- Theoretical density: 3.22 g/cm³
- Symmetry: P-31c

***

(12)
Density functional theory data (GGA-PBE) for crystalline BaTcHg2 at its relaxed geometry.

Geometry as extended XYZ:
```
4
Lattice="-2.1445 2.8183 4.6419 2.1445 -2.8183 4.6419 2.1445 2.8183 -4.6419" Properties=species:S:1:pos:R:3 pbc="T T T"
Ba 0.0000 0.0000 0.0000
Tc 0.0000 0.0000 4.6419
Hg 2.1445 0.0000 2.7330
Hg 0.0000 2.8183 1.9088
```

Calculated values
- Formation energy from the elements: 0.4510 eV/atom
- DOS(E_F): 3.4 states/eV/cell
- Theoretical density: 9.42 g/cm³
- Symmetry: Immm
- Relative energy among the computed polymorphs: 471 meV/atom